The following is a PBE calculation of a relaxed BaBeSe crystal, from the Alexandria database.

```
3
Lattice="-7.062 0.104 1.723 -5.740 -2.673 -1.348 -1.140 -1.079 4.053" Properties=species:S:1:pos:R:3 pbc="T T T"
Be -4.567 -1.517 2.972
Ba -12.734 -2.560 0.397
Se -9.443 -2.140 1.434
```

Values from the calculation:
magnetic moment	0.00	μB per cell
ΔE to the lowest computed polymorph	0.65	eV/f.u.
uncorrected formation energy	-0.32	eV/atom
total energy	-10.08	eV for the cell shown

***

The following is a PBE calculation of a relaxed PaBr2Cl crystal, from the Alexandria database.

```
4
Lattice="3.581 0.000 1.089 -0.024 5.488 0.079 -0.628 0.008 8.461" Properties=species:S:1:pos:R:3 pbc="T T T"
Pa -0.627 0.008 8.461
Br 1.125 5.453 2.735
Br 1.806 0.043 6.895
Cl 3.567 2.744 1.129
```

Values from the calculation:
magnetic moment	2.00	μB per cell
ΔE to the lowest computed polymorph	0.02	eV/f.u.
uncorrected formation energy	-1.43	eV/atom
total energy	-20.41	eV for the cell shown